[1]
VASP calculation (GGA-PBE) on an optimized crystal structure of ScBSbTe2.

Lattice parameters (Å, degrees): 5.5130 5.5130 5.4958 90.00 90.00 90.00
Positions (direct):
Sc (0.0000, 0.0000, 0.0000)
B (0.5000, 0.5000, 0.5000)
Sb (0.0000, 0.0000, 0.5000)
Te (0.0000, 0.5000, 0.0000)
Te (0.5000, 0.0000, 0.0000)

Calculated values
space-group type: P4/mmm, No. 123
ΔE to the lowest computed polymorph: 544 meV/atom

=====

[2]
VASP calculation (GGA-PBE) on an optimized crystal structure of ScB2SbW.

Lattice parameters (Å, degrees): 4.3495 4.3495 5.3507 90.00 90.00 90.00
Positions (direct):
Sc (0.0000, 0.0000, 0.0000)
B (0.0000, 0.5000, 0.5000)
B (0.5000, 0.0000, 0.5000)
Sb (0.0000, 0.0000, 0.5000)
W (0.5000, 0.5000, 0.0000)

Calculated values
space-group type: P4/mmm, No. 123
total energy: -5.0829 eV/atom

=====

[3]
VASP calculation (GGA-PBE) on an optimized crystal structure of Y2ScBSb.

Lattice parameters (Å, degrees): 4.9945 4.9945 4.6882 90.00 90.00 90.00
Positions (direct):
Y (0.0000, 0.5000, 0.0000)
Y (0.5000, 0.0000, 0.0000)
Sc (0.0000, 0.0000, 0.5000)
B (0.0000, 0.0000, 0.0000)
Sb (0.5000, 0.5000, 0.5000)

Calculated values
space-group type: P4/mmm, No. 123
total energy: -6.5975 eV/atom

=====

[4]
VASP calculation (GGA-PBE) on an optimized crystal structure of YSc2BSb.

Lattice parameters (Å, degrees): 4.6793 4.6793 4.9595 90.00 90.00 90.00
Positions (direct):
Y (0.0000, 0.0000, 0.0000)
Sc (0.0000, 0.5000, 0.5000)
Sc (0.5000, 0.0000, 0.5000)
B (0.0000, 0.0000, 0.5000)
Sb (0.5000, 0.5000, 0.0000)

Calculated values
space-group type: P4/mmm, No. 123
total energy: -6.5988 eV/atom

=====

[5]
VASP calculation (GGA-PBE) on an optimized crystal structure of BSb2Se.

Lattice parameters (Å, degrees): 6.9019 6.9019 6.9019 90.00 90.00 90.00
Positions (direct):
B (0.0000, 0.0000, 0.0000)
B (0.0000, 0.5000, 0.5000)
B (0.5000, 0.0000, 0.5000)
B (0.5000, 0.5000, 0.0000)
Sb (0.2500, 0.2500, 0.2500)
Sb (0.2500, 0.2500, 0.7500)
Sb (0.2500, 0.7500, 0.2500)
Sb (0.2500, 0.7500, 0.7500)
Sb (0.7500, 0.2500, 0.2500)
Sb (0.7500, 0.2500, 0.7500)
Sb (0.7500, 0.7500, 0.2500)
Sb (0.7500, 0.7500, 0.7500)
Se (0.0000, 0.0000, 0.5000)
Se (0.0000, 0.5000, 0.0000)
Se (0.5000, 0.0000, 0.0000)
Se (0.5000, 0.5000, 0.5000)

Calculated values
space-group type: Fm-3m, No. 225
ΔE to the lowest computed polymorph: 550 meV/atom

=====

[6]
VASP calculation (GGA-PBE) on an optimized crystal structure of B2SbSe6.

Lattice parameters (Å, degrees): 9.5435 9.5435 6.2605 100.69 100.69 76.10
Positions (direct):
B (0.1777, 0.3033, 0.2641)
B (0.3033, 0.1777, 0.7641)
B (0.6967, 0.8223, 0.2359)
B (0.8223, 0.6967, 0.7359)
Sb (0.0987, 0.9013, 0.2500)
Sb (0.9013, 0.0987, 0.7500)
Se (0.0178, 0.1820, 0.2056)
Se (0.0551, 0.5115, 0.3494)
Se (0.1820, 0.0178, 0.7056)
Se (0.2555, 0.3529, 0.0054)
Se (0.3529, 0.2555, 0.5054)
Se (0.4885, 0.9449, 0.1506)
Se (0.5115, 0.0551, 0.8494)
Se (0.6471, 0.7445, 0.4946)
Se (0.7445, 0.6471, 0.9946)
Se (0.8180, 0.9822, 0.2944)
Se (0.9449, 0.4885, 0.6506)
Se (0.9822, 0.8180, 0.7944)

Calculated values
space-group type: C2/c, No. 15
total energy: -4.2886 eV/atom

=====

[7]
VASP calculation (GGA-PBE) on an optimized crystal structure of BSb2Se.

Lattice parameters (Å, degrees): 6.5378 6.5378 8.9109 90.00 90.00 90.00
Positions (direct):
B (0.0000, 0.0000, 0.0000)
B (0.0000, 0.5000, 0.2500)
B (0.5000, 0.0000, 0.7500)
B (0.5000, 0.5000, 0.5000)
Sb (0.1780, 0.2500, 0.1250)
Sb (0.2500, 0.6780, 0.3750)
Sb (0.2500, 0.8220, 0.8750)
Sb (0.3220, 0.2500, 0.6250)
Sb (0.6780, 0.7500, 0.6250)
Sb (0.7500, 0.1780, 0.8750)
Sb (0.7500, 0.3220, 0.3750)
Sb (0.8220, 0.7500, 0.1250)
Se (0.0000, 0.0000, 0.5000)
Se (0.0000, 0.5000, 0.7500)
Se (0.5000, 0.0000, 0.2500)
Se (0.5000, 0.5000, 0.0000)

Calculated values
space-group type: I-42d, No. 122
ΔE to the lowest computed polymorph: 0 meV/atom

=====

[8]
VASP calculation (GGA-PBE) on an optimized crystal structure of B2SbSe.

Lattice parameters (Å, degrees): 6.2090 6.2090 6.2090 90.00 90.00 90.00
Positions (direct):
B (0.2500, 0.2500, 0.2500)
B (0.2500, 0.2500, 0.7500)
B (0.2500, 0.7500, 0.2500)
B (0.2500, 0.7500, 0.7500)
B (0.7500, 0.2500, 0.2500)
B (0.7500, 0.2500, 0.7500)
B (0.7500, 0.7500, 0.2500)
B (0.7500, 0.7500, 0.7500)
Sb (0.0000, 0.0000, 0.0000)
Sb (0.0000, 0.5000, 0.5000)
Sb (0.5000, 0.0000, 0.5000)
Sb (0.5000, 0.5000, 0.0000)
Se (0.0000, 0.0000, 0.5000)
Se (0.0000, 0.5000, 0.0000)
Se (0.5000, 0.0000, 0.0000)
Se (0.5000, 0.5000, 0.5000)

Calculated values
space-group type: Fm-3m, No. 225
ΔE to the lowest computed polymorph: 946 meV/atom

=====

[9]
VASP calculation (GGA-PBE) on an optimized crystal structure of B2SbSe.

Lattice parameters (Å, degrees): 5.0412 5.0412 10.6370 90.00 90.00 90.00
Positions (direct):
B (0.2332, 0.2500, 0.1250)
B (0.2500, 0.7332, 0.3750)
B (0.2500, 0.7668, 0.8750)
B (0.2668, 0.2500, 0.6250)
B (0.7332, 0.7500, 0.6250)
B (0.7500, 0.2332, 0.8750)
B (0.7500, 0.2668, 0.3750)
B (0.7668, 0.7500, 0.1250)
Sb (0.0000, 0.0000, 0.5000)
Sb (0.0000, 0.5000, 0.7500)
Sb (0.5000, 0.0000, 0.2500)
Sb (0.5000, 0.5000, 0.0000)
Se (0.0000, 0.0000, 0.0000)
Se (0.0000, 0.5000, 0.2500)
Se (0.5000, 0.0000, 0.7500)
Se (0.5000, 0.5000, 0.5000)

Calculated values
space-group type: I-42d, No. 122
ΔE to the lowest computed polymorph: 0 meV/atom

=====

[10]
VASP calculation (GGA-PBE) on an optimized crystal structure of SiBSbSe2.

Lattice parameters (Å, degrees): 5.3796 5.3796 5.1931 90.00 90.00 90.00
Positions (direct):
Si (0.0000, 0.0000, 0.0000)
B (0.5000, 0.5000, 0.0000)
Sb (0.0000, 0.0000, 0.5000)
Se (0.0000, 0.5000, 0.5000)
Se (0.5000, 0.0000, 0.5000)

Calculated values
space-group type: P4/mmm, No. 123
total energy: -3.0203 eV/atom

=====

[11]
VASP calculation (GGA-PBE) on an optimized crystal structure of TaBSbSe2.

Lattice parameters (Å, degrees): 4.9208 4.9208 5.6045 90.00 90.00 90.00
Positions (direct):
Ta (0.0000, 0.0000, 0.0000)
B (0.5000, 0.5000, 0.5000)
Sb (0.0000, 0.0000, 0.5000)
Se (0.0000, 0.5000, 0.0000)
Se (0.5000, 0.0000, 0.0000)

Calculated values
space-group type: P4/mmm, No. 123
total energy: -4.9906 eV/atom

=====

[12]
VASP calculation (GGA-PBE) on an optimized crystal structure of BSbTe2Se.

Lattice parameters (Å, degrees): 5.4818 5.4818 5.4228 90.00 90.00 90.00
Positions (direct):
B (0.0000, 0.0000, 0.0000)
Sb (0.5000, 0.5000, 0.0000)
Te (0.0000, 0.5000, 0.5000)
Te (0.5000, 0.0000, 0.5000)
Se (0.5000, 0.5000, 0.5000)

Calculated values
space-group type: P4/mmm, No. 123
ΔE to the lowest computed polymorph: 699 meV/atom

=====

Number 1: size of the total moment 0.000 Bohr magnetons per cell. Number 2: size of the total moment 1.819 Bohr magnetons per cell. Number 3: size of the total moment 0.000 Bohr magnetons per cell. Number 4: size of the total moment 0.000 Bohr magnetons per cell. Number 5: size of the total moment 0.000 Bohr magnetons per cell. Number 6: size of the total moment 0.000 Bohr magnetons per cell. Number 7: size of the total moment 0.000 Bohr magnetons per cell. Number 8: size of the total moment 0.000 Bohr magnetons per cell. Number 9: size of the total moment 0.000 Bohr magnetons per cell. Number 10: size of the total moment 0.000 Bohr magnetons per cell. Number 11: size of the total moment 0.000 Bohr magnetons per cell. Number 12: size of the total moment 0.662 Bohr magnetons per cell.